The following is a PBE-GGA calculation of TiAsP3 after structural relaxation, from Alexandria via LeMat-Bulk.

a b c (Å): 4.6833 4.6833 4.6833
angles (deg): 90.00 90.00 90.00
Element x y z (fractional)
1 P 0.0000 0.0000 0.5000
2 P 0.0000 0.5000 0.0000
3 P 0.5000 0.0000 0.0000
4 As 0.5000 0.5000 0.5000
5 Ti 0.0000 0.0000 0.0000


The following is a PBE-GGA calculation of Ti5As2P2 after structural relaxation, from Alexandria via LeMat-Bulk.

a b c (Å): 6.6434 6.5716 7.1897
angles (deg): 90.00 62.48 90.00
Element x y z (fractional)
1 P 0.6358 0.1345 0.0000
2 P 0.8642 0.6345 0.0000
3 P 0.3642 0.8655 0.0000
4 P 0.1358 0.3655 0.0000
5 As 0.2039 0.0000 0.5923
6 As 0.7039 0.5000 0.5923
7 As 0.2961 0.5000 0.4077
8 As 0.7961 0.0000 0.4077
9 Ti 0.2143 0.1613 0.2547
10 Ti 0.7143 0.3387 0.2547
11 Ti 0.5310 0.8387 0.2547
12 Ti 0.0000 0.0000 0.0000
13 Ti 0.0310 0.6613 0.2547
14 Ti 0.7857 0.8387 0.7453
15 Ti 0.9690 0.3387 0.7453
16 Ti 0.5000 0.5000 0.0000
17 Ti 0.2857 0.6613 0.7453
18 Ti 0.4690 0.1613 0.7453


The following is a PBE-GGA calculation of Ti2AsP after structural relaxation, from Alexandria via LeMat-Bulk.

a b c (Å): 4.4326 4.4326 4.4326
angles (deg): 60.00 60.00 60.00
Element x y z (fractional)
1 Ti 0.2500 0.2500 0.2500
2 Ti 0.7500 0.7500 0.7500
3 As 0.5000 0.5000 0.5000
4 P 0.0000 0.0000 0.0000


The following is a PBE-GGA calculation of Ti3AsP after structural relaxation, from Alexandria via LeMat-Bulk.

a b c (Å): 4.5591 7.1756 5.0872
angles (deg): 90.00 90.00 90.00
Element x y z (fractional)
1 Ti 0.5000 0.1464 0.8109
2 Ti 0.5000 0.5001 0.5609
3 Ti 0.0000 0.2562 0.3109
4 Ti 0.0000 0.7438 0.8109
5 Ti 0.5000 0.4999 0.0609
6 Ti 0.5000 0.8536 0.3109
7 As 0.0000 0.6410 0.3109
8 As 0.0000 0.3590 0.8109
9 P 0.5000 0.1867 0.3109
10 P 0.5000 0.8133 0.8109


The following is a PBE-GGA calculation of Ti3AsP after structural relaxation, from Alexandria via LeMat-Bulk.

a b c (Å): 4.5302 4.5302 4.5302
angles (deg): 90.00 90.00 90.00
Element x y z (fractional)
1 P 0.0000 0.0000 0.0000
2 Ti 0.5000 0.0000 0.0000
3 Ti 0.0000 0.0000 0.5000
4 Ti 0.0000 0.5000 0.0000
5 As 0.5000 0.5000 0.5000


The following is a PBE-GGA calculation of Ti2AsP after structural relaxation, from Alexandria via LeMat-Bulk.

a b c (Å): 3.5681 3.5681 6.3072
angles (deg): 73.57 73.57 60.00
Element x y z (fractional)
1 Ti 0.2591 0.2591 0.2227
2 Ti 0.7409 0.7409 0.7773
3 P 0.0000 0.0000 0.0000
4 As 0.5000 0.5000 0.5000


The following is a PBE-GGA calculation of Ti2AsP2 after structural relaxation, from Alexandria via LeMat-Bulk.

a b c (Å): 3.4222 3.4222 6.9790
angles (deg): 75.81 75.81 90.00
Element x y z (fractional)
1 P 0.2500 0.7500 0.5000
2 P 0.7500 0.2500 0.5000
3 As 0.0000 0.0000 0.0000
4 Ti 0.3921 0.3921 0.2158
5 Ti 0.6079 0.6079 0.7842


The following is a PBE-GGA calculation of Ti2AsP2 after structural relaxation, from Alexandria via LeMat-Bulk.

a b c (Å): 6.8910 6.8910 3.2702
angles (deg): 90.00 90.00 90.00
Element x y z (fractional)
1 Ti 0.3425 0.8425 0.0000
2 Ti 0.8425 0.6575 0.0000
3 Ti 0.6575 0.1575 0.0000
4 Ti 0.1575 0.3425 0.0000
5 As 0.5000 0.5000 0.0000
6 As 0.0000 0.0000 0.0000
7 P 0.1320 0.6320 0.5000
8 P 0.8680 0.3680 0.5000
9 P 0.6320 0.8680 0.5000
10 P 0.3680 0.1320 0.5000


The following is a PBE-GGA calculation of TiZnAs2P after structural relaxation, from Alexandria via LeMat-Bulk.

a b c (Å): 4.6143 4.9917 4.6143
angles (deg): 90.00 90.00 90.00
Element x y z (fractional)
1 As 0.5000 0.0000 0.0000
2 As 0.0000 0.0000 0.5000
3 P 0.5000 0.5000 0.5000
4 Ti 0.0000 0.5000 0.0000
5 Zn 0.0000 0.0000 0.0000


The following is a PBE-GGA calculation of Ti2ZnAsP after structural relaxation, from Alexandria via LeMat-Bulk.

a b c (Å): 4.5782 4.7648 4.5782
angles (deg): 90.00 90.00 90.00
Element x y z (fractional)
1 Ti 0.0000 0.0000 0.5000
2 Ti 0.5000 0.0000 0.0000
3 As 0.0000 0.5000 0.0000
4 Zn 0.5000 0.5000 0.5000
5 P 0.0000 0.0000 0.0000


The following is a PBE-GGA calculation of TlAs2P after structural relaxation, from Alexandria via LeMat-Bulk.

a b c (Å): 5.3262 5.3262 6.0066
angles (deg): 69.55 69.55 37.65
Element x y z (fractional)
1 P 0.7500 0.7500 0.7500
2 As 0.0520 0.0520 0.8661
3 As 0.4480 0.4480 0.6339
4 Tl 0.2500 0.2500 0.2500


The following is a PBE-GGA calculation of Tl2AsP after structural relaxation, from Alexandria via LeMat-Bulk.

a b c (Å): 5.1351 5.1351 5.1351
angles (deg): 60.00 60.00 60.00
Element x y z (fractional)
1 P 0.7500 0.7500 0.7500
2 Tl 0.2500 0.2500 0.2500
3 Tl 0.0000 0.0000 0.0000
4 As 0.5000 0.5000 0.5000


no.,total energy (eV/atom),magnetic moment (μB/atom),volume (A^3/atom)
1,-5.237,0.000,20.5
2,-7.682,0.000,15.5
3,-7.095,0.000,15.4
4,-7.599,0.000,16.6
5,-6.950,0.000,18.6
6,-7.458,0.000,16.4
7,-6.999,0.000,15.3
8,-6.993,0.000,15.5
9,-3.865,0.000,21.3
10,-5.248,0.000,20.0
11,-4.063,0.000,24.2
12,-3.242,0.000,23.9